The following is a DFT calculation (PBE) of Cu2Pt after structural relaxation.

The structure belongs to space group P6_3/mmc (No. 194); the cell edges are 4.8056, 4.8056 and 7.8214 Å and the angles 90.00°, 90.00° and 120.00°. The distinct sites, in fractional coordinates, are Cu at (0.0000, 0.0000, 0.0000), Cu at (0.1701, 0.3402, 0.2500) and Pt at (0.3333, 0.6667, 0.5621).

As for the density of states at the Fermi level: 2.418 states/eV/cell. For the total energy, the calculation gives -4.82 eV per atom. As for the energy above the most stable polymorph in this dataset: 0.073 eV per atom. As for the total moment: 0.0 μB per formula unit.